(one)
First-principles (PBE) data for a geometry-optimized LaRhW2 structure, as listed in the Alexandria database.

```
data_LaRhW2
_chemical_formula_sum 'La1 Rh1 W2'
_cell_length_a 5.539
_cell_length_b 5.539
_cell_length_c 4.868
_cell_angle_alpha 102.68
_cell_angle_beta 102.68
_cell_angle_gamma 31.48
_space_group_name_H-M_alt 'P 1'
_space_group_IT_number 1
_space_group_name_Hall 'P 1'
loop_
_atom_site_label
_atom_site_type_symbol
_atom_site_fract_x
_atom_site_fract_y
_atom_site_fract_z
La1 La 0.000 0.000 0.000
Rh1 Rh 0.500 0.500 0.500
W1 W 0.226 0.226 0.713
W2 W 0.774 0.774 0.287
```

Output
As for the space group: C2/m. For the theoretical density, the calculation gives 13.33 g/cm3.

---

(two)
First-principles (PBE) data for a geometry-optimized LaRhW2 structure, as listed in the Alexandria database.

```
data_LaRhW2
_chemical_formula_sum 'La1 Rh1 W2'
_cell_length_a 10.308
_cell_length_b 10.308
_cell_length_c 10.308
_cell_angle_alpha 16.15
_cell_angle_beta 16.15
_cell_angle_gamma 16.15
_space_group_name_H-M_alt 'P 1'
_space_group_IT_number 1
_space_group_name_Hall 'P 1'
loop_
_atom_site_label
_atom_site_type_symbol
_atom_site_fract_x
_atom_site_fract_y
_atom_site_fract_z
La1 La 0.000 0.000 0.000
Rh1 Rh 0.242 0.242 0.242
W1 W 0.507 0.507 0.507
W2 W 0.762 0.762 0.762
```

Output
As for the space group: R3m. For the theoretical density, the calculation gives 13.69 g/cm3.

---

The most stable arrangement is (one), and the next structure is 11.0 kJ/mol of atoms less stable.

---

(one)
First-principles (PBE) data for a geometry-optimized LaRhW2 structure, as listed in the Alexandria database.

```
data_LaRhW2
_chemical_formula_sum 'La1 Rh1 W2'
_cell_length_a 10.312
_cell_length_b 10.312
_cell_length_c 10.312
_cell_angle_alpha 16.15
_cell_angle_beta 16.15
_cell_angle_gamma 16.15
_space_group_name_H-M_alt 'P 1'
_space_group_IT_number 1
_space_group_name_Hall 'P 1'
loop_
_atom_site_label
_atom_site_type_symbol
_atom_site_fract_x
_atom_site_fract_y
_atom_site_fract_z
La1 La 0.000 0.000 0.000
Rh1 Rh 0.500 0.500 0.500
W1 W 0.238 0.238 0.238
W2 W 0.762 0.762 0.762
```

Output
As for the space group: R-3m. For the theoretical density, the calculation gives 13.69 g/cm3.

---

(two)
First-principles (PBE) data for a geometry-optimized LaRhW2 structure, as listed in the Alexandria database.

```
data_LaRhW2
_chemical_formula_sum 'La1 Rh1 W2'
_cell_length_a 4.658
_cell_length_b 4.658
_cell_length_c 4.658
_cell_angle_alpha 60.00
_cell_angle_beta 60.00
_cell_angle_gamma 60.00
_space_group_name_H-M_alt 'P 1'
_space_group_IT_number 1
_space_group_name_Hall 'P 1'
loop_
_atom_site_label
_atom_site_type_symbol
_atom_site_fract_x
_atom_site_fract_y
_atom_site_fract_z
La1 La 0.000 0.000 0.000
Rh1 Rh 0.500 0.500 0.500
W1 W 0.250 0.250 0.250
W2 W 0.750 0.750 0.750
```

Output
As for the space group: Fm-3m. For the theoretical density, the calculation gives 14.16 g/cm3.

---

(three)
First-principles (PBE) data for a geometry-optimized LaRhW2 structure, as listed in the Alexandria database.

```
data_LaRhW2
_chemical_formula_sum 'La1 Rh1 W2'
_cell_length_a 2.896
_cell_length_b 5.246
_cell_length_c 5.060
_cell_angle_alpha 90.00
_cell_angle_beta 99.28
_cell_angle_gamma 90.00
_space_group_name_H-M_alt 'P 1'
_space_group_IT_number 1
_space_group_name_Hall 'P 1'
loop_
_atom_site_label
_atom_site_type_symbol
_atom_site_fract_x
_atom_site_fract_y
_atom_site_fract_z
La1 La 0.000 0.000 0.000
Rh1 Rh 0.500 0.000 0.500
W1 W 0.289 0.500 0.749
W2 W 0.711 0.500 0.251
```

Output
As for the space group: P2/m. For the theoretical density, the calculation gives 13.34 g/cm3.

---

The most stable arrangement is (three), and the next structure is 8.0 kJ/mol of atoms less stable.

---

(one)
First-principles (PBE) data for a geometry-optimized La2RhW structure, as listed in the Alexandria database.

```
data_La2RhW
_chemical_formula_sum 'La2 Rh1 W1'
_cell_length_a 4.299
_cell_length_b 5.794
_cell_length_c 5.794
_cell_angle_alpha 47.71
_cell_angle_beta 90.00
_cell_angle_gamma 90.00
_space_group_name_H-M_alt 'P 1'
_space_group_IT_number 1
_space_group_name_Hall 'P 1'
loop_
_atom_site_label
_atom_site_type_symbol
_atom_site_fract_x
_atom_site_fract_y
_atom_site_fract_z
La1 La 0.000 0.000 0.000
La2 La 0.500 0.302 0.302
Rh1 Rh 0.000 0.708 0.708
W1 W 0.500 0.597 0.597
```

Output
As for the space group: Amm2. For the theoretical density, the calculation gives 8.78 g/cm3.

---

(two)
First-principles (PBE) data for a geometry-optimized La2RhW structure, as listed in the Alexandria database.

```
data_La2RhW
_chemical_formula_sum 'La2 Rh1 W1'
_cell_length_a 6.011
_cell_length_b 6.011
_cell_length_c 6.011
_cell_angle_alpha 139.12
_cell_angle_beta 139.12
_cell_angle_gamma 59.19
_space_group_name_H-M_alt 'P 1'
_space_group_IT_number 1
_space_group_name_Hall 'P 1'
loop_
_atom_site_label
_atom_site_type_symbol
_atom_site_fract_x
_atom_site_fract_y
_atom_site_fract_z
La1 La 0.000 0.000 0.000
La2 La 0.750 0.250 0.500
Rh1 Rh 0.250 0.750 0.500
W1 W 0.500 0.500 0.000
```

Output
As for the space group: I-4m2. For the theoretical density, the calculation gives 10.18 g/cm3.

---

The most stable arrangement is (one), and the next structure is 31.2 kJ/mol of atoms less stable.

---

(one)
First-principles (PBE) data for a geometry-optimized La2RhW structure, as listed in the Alexandria database.

```
data_La2RhW
_chemical_formula_sum 'La2 Rh1 W1'
_cell_length_a 3.302
_cell_length_b 3.846
_cell_length_c 7.405
_cell_angle_alpha 90.00
_cell_angle_beta 90.00
_cell_angle_gamma 90.00
_space_group_name_H-M_alt 'P 1'
_space_group_IT_number 1
_space_group_name_Hall 'P 1'
loop_
_atom_site_label
_atom_site_type_symbol
_atom_site_fract_x
_atom_site_fract_y
_atom_site_fract_z
La1 La 0.000 0.000 0.238
La2 La 0.000 0.000 0.762
Rh1 Rh 0.500 0.500 0.000
W1 W 0.500 0.500 0.500
```

Output
As for the space group: Pmmm. For the theoretical density, the calculation gives 9.97 g/cm3.

---

(two)
First-principles (PBE) data for a geometry-optimized La2RhW structure, as listed in the Alexandria database.

```
data_La2RhW
_chemical_formula_sum 'La2 Rh1 W1'
_cell_length_a 8.877
_cell_length_b 8.877
_cell_length_c 8.877
_cell_angle_alpha 23.41
_cell_angle_beta 23.41
_cell_angle_gamma 23.41
_space_group_name_H-M_alt 'P 1'
_space_group_IT_number 1
_space_group_name_Hall 'P 1'
loop_
_atom_site_label
_atom_site_type_symbol
_atom_site_fract_x
_atom_site_fract_y
_atom_site_fract_z
La1 La 0.246 0.246 0.246
La2 La 0.754 0.754 0.754
Rh1 Rh 0.500 0.500 0.500
W1 W 0.000 0.000 0.000
```

Output
As for the space group: R-3m. For the theoretical density, the calculation gives 9.67 g/cm3.

---

The most stable arrangement is (one), and the next structure is 18.5 kJ/mol of atoms less stable.